The following is a DFT calculation (PBEsol) of a relaxed structure of YZr2Sc.

abc: 4.5936 4.5936 5.5775
angles: 114.32 114.32 90.00
Atoms (fractional coordinates):
1 Y 0.7500 0.2500 0.5000
2 Zr 0.0000 0.0000 0.0000
3 Zr 0.2500 0.7500 0.5000
4 Sc 0.5000 0.5000 0.0000

Calculated values
Space group ... I-4m2, No. 119
E ... -7.818 eV per atom

=====

The following is a DFT calculation (PBEsol) of a relaxed structure of YZrSc2.

abc: 3.2365 5.6143 5.6813
angles: 98.96 90.00 106.75
Atoms (fractional coordinates):
1 Zr 0.2533 0.5066 0.7597
2 Y 0.5011 0.0022 0.5062
3 Sc 0.9984 0.9968 0.9932
4 Sc 0.7472 0.4945 0.2409

Calculated values
Space group ... Cm, No. 8
E ... -7.208 eV per atom

=====

The following is a DFT calculation (PBEsol) of a relaxed structure of YZrSc2.

abc: 4.6353 4.6353 5.5899
angles: 114.49 114.49 90.00
Atoms (fractional coordinates):
1 Sc 0.2500 0.7500 0.5000
2 Sc 0.7500 0.2500 0.5000
3 Y 0.0000 0.0000 0.0000
4 Zr 0.5000 0.5000 0.0000

Calculated values
Space group ... I4/mmm, No. 139
E ... -7.216 eV per atom

=====

The following is a DFT calculation (PBEsol) of a relaxed structure of YZrSc2.

abc: 3.3007 4.3979 6.7571
angles: 90.00 90.00 90.00
Atoms (fractional coordinates):
1 Sc 0.0000 0.0000 0.2741
2 Sc 0.0000 0.0000 0.7259
3 Zr 0.5000 0.5000 0.5000
4 Y 0.5000 0.5000 0.0000

Calculated values
Space group ... Pmmm, No. 47
E ... -7.237 eV per atom

=====

The following is a DFT calculation (PBEsol) of a relaxed structure of YZrSc2.

abc: 3.2407 5.5785 5.7371
angles: 99.24 90.00 106.89
Atoms (fractional coordinates):
1 Y 0.5000 0.0000 0.0000
2 Sc 0.7445 0.4890 0.7327
3 Sc 0.2555 0.5110 0.2673
4 Zr 0.0000 0.0000 0.5000

Calculated values
Space group ... C2/m, No. 12
E ... -7.209 eV per atom

=====

The following is a DFT calculation (PBEsol) of a relaxed structure of Y2ZrSc.

abc: 3.3219 5.7655 5.7655
angles: 109.48 90.00 90.00
Atoms (fractional coordinates):
1 Sc 0.5000 0.0000 0.0000
2 Y 0.0000 0.0000 0.5000
3 Y 0.0000 0.5000 0.0000
4 Zr 0.5000 0.5000 0.5000

Calculated values
Space group ... Cmmm, No. 65
E ... -7.236 eV per atom

=====

The following is a DFT calculation (PBEsol) of a relaxed structure of YZr2Sc.

abc: 3.2221 3.2221 10.8034
angles: 81.42 81.42 60.00
Atoms (fractional coordinates):
1 Zr 0.7525 0.7525 0.7425
2 Zr 0.2475 0.2475 0.2575
3 Y 0.0000 0.0000 0.0000
4 Sc 0.5000 0.5000 0.5000

Calculated values
Space group ... R-3m, No. 166
E ... -7.802 eV per atom

=====

The following is a DFT calculation (PBEsol) of a relaxed structure of YZr2Sc.

abc: 5.1204 5.1204 5.1204
angles: 60.00 60.00 60.00
Atoms (fractional coordinates):
1 Zr 0.0000 0.0000 0.0000
2 Zr 0.7500 0.7500 0.7500
3 Sc 0.5000 0.5000 0.5000
4 Y 0.2500 0.2500 0.2500

Calculated values
Space group ... F-43m, No. 216
E ... -7.727 eV per atom

=====

The following is a DFT calculation (PBEsol) of a relaxed structure of YZr2Sc.

abc: 3.2432 5.0466 6.2038
angles: 90.00 105.15 90.00
Atoms (fractional coordinates):
1 Sc 0.4511 0.0000 0.9022
2 Zr 0.0692 0.5000 0.1384
3 Zr 0.1746 0.0000 0.3493
4 Y 0.8045 0.5000 0.6090

Calculated values
Space group ... Amm2, No. 38
E ... -7.868 eV per atom

=====

The following is a DFT calculation (PBEsol) of a relaxed structure of YZrSc2.

abc: 3.2494 5.6228 5.6228
angles: 108.97 90.00 90.00
Atoms (fractional coordinates):
1 Sc 0.0000 0.0000 0.5000
2 Sc 0.0000 0.5000 0.0000
3 Y 0.5000 0.0000 0.0000
4 Zr 0.5000 0.5000 0.5000

Calculated values
Space group ... Cmmm, No. 65
E ... -7.209 eV per atom

=====

The following is a DFT calculation (PBEsol) of a relaxed structure of YZr2Sc.

abc: 3.2690 4.4341 6.6921
angles: 90.00 90.00 90.00
Atoms (fractional coordinates):
1 Zr 0.5000 0.5000 0.2428
2 Zr 0.0000 0.0000 0.0237
3 Y 0.5000 0.5000 0.7566
4 Sc 0.0000 0.0000 0.4769

Calculated values
Space group ... Pmm2, No. 25
E ... -7.835 eV per atom

=====

The following is a DFT calculation (PBEsol) of a relaxed structure of Sc3Zn.

abc: 3.2255 3.2255 9.7269
angles: 80.46 80.46 60.00
Atoms (fractional coordinates):
1 Sc 0.2418 0.2418 0.2745
2 Sc 0.7582 0.7582 0.7255
3 Sc 0.0000 0.0000 0.0000
4 Zn 0.5000 0.5000 0.5000

Calculated values
Space group ... R-3m, No. 166
E ... -5.392 eV per atom

=====

| no. | DOS at the Fermi energy (states/eV/cell) | DFT formation energy (eV per formula unit) |
| --- | --- | --- |
| 1 | 4.91 | 0.34 |
| 2 | 5.88 | 0.29 |
| 3 | 5.28 | 0.26 |
| 4 | 4.83 | 0.17 |
| 5 | 5.93 | 0.28 |
| 6 | 5.62 | 0.40 |
| 7 | 6.13 | 0.40 |
| 8 | 7.99 | 0.70 |
| 9 | 4.83 | 0.14 |
| 10 | 5.84 | 0.29 |
| 11 | 5.02 | 0.27 |
| 12 | 5.59 | -0.17 |